Entry i
# UCoB

A relaxed UCoB crystal (PBE, the Open Quantum Materials Database).

Results
* space-group type: Pnma (62)

a = 6.505 Å, b = 3.590 Å, c = 6.491 Å
α = 90.00°, β = 90.00°, γ = 90.00°
Sites, in units of the cell vectors:
U (0.005, 0.250, 0.156)
U (0.495, 0.750, 0.656)
U (0.505, 0.250, 0.344)
U (0.995, 0.750, 0.844)
Co (0.131, 0.250, 0.564)
Co (0.369, 0.750, 0.064)
Co (0.631, 0.250, 0.936)
Co (0.869, 0.750, 0.436)
B (0.196, 0.750, 0.391)
B (0.304, 0.250, 0.891)
B (0.696, 0.750, 0.109)
B (0.804, 0.250, 0.609)



Entry ii
# UCoB

A relaxed UCoB crystal (PBE, the Open Quantum Materials Database).

Results
* space-group type: F-43m (216)

a = 4.028 Å, b = 4.028 Å, c = 4.028 Å
α = 60.00°, β = 60.00°, γ = 60.00°
Sites, in units of the cell vectors:
U (0.000, 0.000, 0.000)
Co (0.750, 0.750, 0.750)
B (0.500, 0.500, 0.500)



entry i is the most stable structure; the next one sits 0.653 eV/atom above it.



Entry i
# UCoB

A relaxed UCoB crystal (PBE, the Open Quantum Materials Database).

Results
* space-group type: F-43m (216)

a = 4.132 Å, b = 4.132 Å, c = 4.132 Å
α = 60.00°, β = 60.00°, γ = 60.00°
Sites, in units of the cell vectors:
U (0.000, 0.000, 0.000)
Co (0.250, 0.250, 0.250)
B (0.750, 0.750, 0.750)



Entry ii
# UCoB

A relaxed UCoB crystal (PBE, the Open Quantum Materials Database).

Results
* space-group type: F-43m (216)

a = 3.942 Å, b = 3.942 Å, c = 3.942 Å
α = 60.00°, β = 60.00°, γ = 60.00°
Sites, in units of the cell vectors:
U (0.000, 0.000, 0.000)
Co (0.500, 0.500, 0.500)
B (0.250, 0.250, 0.250)



entry ii is the most stable structure; the next one sits 0.826 eV/atom above it.



Entry i
# CoB4W

A relaxed CoB4W crystal (PBE, the Open Quantum Materials Database).

Results
* space-group type: P6/mmm (191)

a = 2.998 Å, b = 2.998 Å, c = 6.263 Å
α = 90.00°, β = 90.00°, γ = 120.00°
Sites, in units of the cell vectors:
Co (0.000, 0.000, 0.000)
B (0.333, 0.667, 0.232)
B (0.333, 0.667, 0.768)
B (0.667, 0.333, 0.232)
B (0.667, 0.333, 0.768)
W (0.000, 0.000, 0.500)



Entry ii
# CoB4W

A relaxed CoB4W crystal (PBE, the Open Quantum Materials Database).

Results
* space-group type: Immm (71)

a = 4.413 Å, b = 4.413 Å, c = 4.413 Å
α = 140.47°, β = 108.51°, γ = 84.91°
Sites, in units of the cell vectors:
Co (0.000, 0.000, 0.000)
B (0.081, 0.751, 0.329)
B (0.422, 0.751, 0.671)
B (0.578, 0.249, 0.329)
B (0.919, 0.249, 0.671)
W (0.500, 0.500, 0.000)



entry i is the most stable structure; the next one sits 0.067 eV/atom above it.



Entry i
# YCoBW

A relaxed YCoBW crystal (PBE, the Open Quantum Materials Database).

Results
* space-group type: F-43m (216)

a = 4.403 Å, b = 4.403 Å, c = 4.403 Å
α = 60.00°, β = 60.00°, γ = 60.00°
Sites, in units of the cell vectors:
Y (0.000, 0.000, 0.000)
Co (0.500, 0.500, 0.500)
B (0.250, 0.250, 0.250)
W (0.750, 0.750, 0.750)



Entry ii
# YCoBW

A relaxed YCoBW crystal (PBE, the Open Quantum Materials Database).

Results
* space-group type: F-43m (216)

a = 4.339 Å, b = 4.339 Å, c = 4.339 Å
α = 60.00°, β = 60.00°, γ = 60.00°
Sites, in units of the cell vectors:
Y (0.000, 0.000, 0.000)
Co (0.750, 0.750, 0.750)
B (0.500, 0.500, 0.500)
W (0.250, 0.250, 0.250)



entry ii is the most stable structure; the next one sits 0.008 eV/atom above it.



Entry i
# ZnCoBW

A relaxed ZnCoBW crystal (PBE, the Open Quantum Materials Database).

Results
* space-group type: F-43m (216)

a = 4.034 Å, b = 4.034 Å, c = 4.034 Å
α = 60.00°, β = 60.00°, γ = 60.00°
Sites, in units of the cell vectors:
Zn (0.000, 0.000, 0.000)
Co (0.750, 0.750, 0.750)
B (0.500, 0.500, 0.500)
W (0.250, 0.250, 0.250)



Entry ii
# ZnCoBW

A relaxed ZnCoBW crystal (PBE, the Open Quantum Materials Database).

Results
* space-group type: F-43m (216)

a = 4.067 Å, b = 4.067 Å, c = 4.067 Å
α = 60.00°, β = 60.00°, γ = 60.00°
Sites, in units of the cell vectors:
Zn (0.000, 0.000, 0.000)
Co (0.500, 0.500, 0.500)
B (0.250, 0.250, 0.250)
W (0.750, 0.750, 0.750)



entry i is the most stable structure; the next one sits 0.256 eV/atom above it.



Entry i
# YCoB4

A relaxed YCoB4 crystal (PBE, the Open Quantum Materials Database).

Results
* space-group type: Immm (71)

a = 4.742 Å, b = 4.742 Å, c = 4.742 Å
α = 141.21°, β = 112.04°, γ = 81.11°
Sites, in units of the cell vectors:
Y (0.000, 0.000, 0.000)
Co (0.500, 0.500, 0.000)
B (0.084, 0.751, 0.333)
B (0.418, 0.751, 0.667)
B (0.582, 0.249, 0.333)
B (0.916, 0.249, 0.667)



Entry ii
# YCoB4

A relaxed YCoB4 crystal (PBE, the Open Quantum Materials Database).

Results
* space-group type: P6/mmm (191)

a = 3.166 Å, b = 3.166 Å, c = 6.476 Å
α = 90.00°, β = 90.00°, γ = 120.00°
Sites, in units of the cell vectors:
Y (0.000, 0.000, 0.000)
Co (0.000, 0.000, 0.500)
B (0.333, 0.667, 0.301)
B (0.333, 0.667, 0.699)
B (0.667, 0.333, 0.301)
B (0.667, 0.333, 0.699)



Entry iii
# YCoB4

A relaxed YCoB4 crystal (PBE, the Open Quantum Materials Database).

Results
* space-group type: Pbam (55)

a = 5.892 Å, b = 11.415 Å, c = 3.382 Å
α = 90.00°, β = 90.00°, γ = 90.00°
Sites, in units of the cell vectors:
Y (0.128, 0.150, 0.000)
Y (0.372, 0.650, 0.000)
Y (0.628, 0.350, 0.000)
Y (0.872, 0.850, 0.000)
Co (0.135, 0.411, 0.000)
Co (0.365, 0.911, 0.000)
Co (0.635, 0.089, 0.000)
Co (0.865, 0.589, 0.000)
B (0.023, 0.691, 0.500)
B (0.111, 0.546, 0.500)
B (0.139, 0.968, 0.500)
B (0.217, 0.816, 0.500)
B (0.283, 0.316, 0.500)
B (0.361, 0.468, 0.500)
B (0.389, 0.046, 0.500)
B (0.477, 0.191, 0.500)
B (0.523, 0.809, 0.500)
B (0.611, 0.954, 0.500)
B (0.639, 0.532, 0.500)
B (0.717, 0.684, 0.500)
B (0.783, 0.184, 0.500)
B (0.861, 0.032, 0.500)
B (0.889, 0.454, 0.500)
B (0.977, 0.309, 0.500)



entry iii is the most stable structure; the next one sits 0.255 eV/atom above it.



Entry i
# ZrZnCoB

A relaxed ZrZnCoB crystal (PBE, the Open Quantum Materials Database).

Results
* space-group type: F-43m (216)

a = 4.175 Å, b = 4.175 Å, c = 4.175 Å
α = 60.00°, β = 60.00°, γ = 60.00°
Sites, in units of the cell vectors:
Zr (0.000, 0.000, 0.000)
Zn (0.250, 0.250, 0.250)
Co (0.750, 0.750, 0.750)
B (0.500, 0.500, 0.500)



Entry ii
# ZrZnCoB

A relaxed ZrZnCoB crystal (PBE, the Open Quantum Materials Database).

Results
* space-group type: F-43m (216)

a = 4.166 Å, b = 4.166 Å, c = 4.166 Å
α = 60.00°, β = 60.00°, γ = 60.00°
Sites, in units of the cell vectors:
Zr (0.000, 0.000, 0.000)
Zn (0.750, 0.750, 0.750)
Co (0.500, 0.500, 0.500)
B (0.250, 0.250, 0.250)



entry ii is the most stable structure; the next one sits 0.175 eV/atom above it.



Entry i
# ZrCo3B2

A relaxed ZrCo3B2 crystal (PBE, the Open Quantum Materials Database).

Results
* space-group type: R-3m (166)

a = 5.721 Å, b = 5.721 Å, c = 5.721 Å
α = 94.81°, β = 94.81°, γ = 94.81°
Sites, in units of the cell vectors:
Zr (0.000, 0.000, 0.000)
Zr (0.330, 0.330, 0.330)
Zr (0.670, 0.670, 0.670)
Co (0.000, 0.000, 0.500)
Co (0.000, 0.500, 0.000)
Co (0.197, 0.695, 0.695)
Co (0.305, 0.305, 0.803)
Co (0.305, 0.803, 0.305)
Co (0.500, 0.000, 0.000)
Co (0.695, 0.197, 0.695)
Co (0.695, 0.695, 0.197)
Co (0.803, 0.305, 0.305)
B (0.000, 0.377, 0.623)
B (0.000, 0.623, 0.377)
B (0.377, 0.000, 0.623)
B (0.377, 0.623, 0.000)
B (0.623, 0.000, 0.377)
B (0.623, 0.377, 0.000)



Entry ii
# ZrCo3B2

A relaxed ZrCo3B2 crystal (PBE, the Open Quantum Materials Database).

Results
* space-group type: P6/mmm (191)

a = 4.852 Å, b = 4.852 Å, c = 3.051 Å
α = 90.00°, β = 90.00°, γ = 120.00°
Sites, in units of the cell vectors:
Zr (0.000, 0.000, 0.000)
Co (0.000, 0.500, 0.500)
Co (0.500, 0.000, 0.500)
Co (0.500, 0.500, 0.500)
B (0.333, 0.667, 0.000)
B (0.667, 0.333, 0.000)



entry i is the most stable structure; the next one sits 0.010 eV/atom above it.